No. 1
# InFeHgIr (PBE, relaxed)
# - E (eV per atom) = -4.703
# - M_tot (μB/f.u.) = 2.75
# - ΔE to the lowest computed polymorph (kJ/mol of atoms) = 0.0
data_InFeHgIr
_symmetry_space_group_name_H-M 'P 1'
_symmetry_Int_Tables_number 1
_cell_length_a 6.495
_cell_length_b 6.495
_cell_length_c 6.495
_cell_angle_alpha 90.00
_cell_angle_beta 90.00
_cell_angle_gamma 90.00
loop_
_symmetry_equiv_pos_as_xyz
'x,y,z'
loop_
_atom_site_label
_atom_site_type_symbol
_atom_site_fract_x
_atom_site_fract_y
_atom_site_fract_z
In1 In 0.000 0.000 0.000
In2 In 0.000 0.500 0.500
In3 In 0.500 0.000 0.500
In4 In 0.500 0.500 0.000
Fe1 Fe 0.250 0.250 0.250
Fe2 Fe 0.250 0.750 0.750
Fe3 Fe 0.750 0.250 0.750
Fe4 Fe 0.750 0.750 0.250
Hg1 Hg 0.000 0.000 0.500
Hg2 Hg 0.000 0.500 0.000
Hg3 Hg 0.500 0.000 0.000
Hg4 Hg 0.500 0.500 0.500
Ir1 Ir 0.250 0.250 0.750
Ir2 Ir 0.250 0.750 0.250
Ir3 Ir 0.750 0.250 0.250
Ir4 Ir 0.750 0.750 0.750

No. 2
# DyNiAu (PBE, relaxed)
# - E (eV per atom) = -4.960
# - M_tot (μB/f.u.) = 0.00
# - DFT formation energy (eV per atom) = -0.481
data_DyNiAu
_symmetry_space_group_name_H-M 'P 1'
_symmetry_Int_Tables_number 1
_cell_length_a 6.259
_cell_length_b 6.259
_cell_length_c 6.259
_cell_angle_alpha 90.00
_cell_angle_beta 90.00
_cell_angle_gamma 90.00
loop_
_symmetry_equiv_pos_as_xyz
'x,y,z'
loop_
_atom_site_label
_atom_site_type_symbol
_atom_site_fract_x
_atom_site_fract_y
_atom_site_fract_z
Dy1 Dy 0.000 0.000 0.000
Dy2 Dy 0.000 0.500 0.500
Dy3 Dy 0.500 0.000 0.500
Dy4 Dy 0.500 0.500 0.000
Ni1 Ni 0.250 0.250 0.750
Ni2 Ni 0.250 0.750 0.250
Ni3 Ni 0.750 0.250 0.250
Ni4 Ni 0.750 0.750 0.750
Au1 Au 0.000 0.000 0.500
Au2 Au 0.000 0.500 0.000
Au3 Au 0.500 0.000 0.000
Au4 Au 0.500 0.500 0.500

No. 3
# BeAlInPd (PBE, relaxed)
# - E (eV per atom) = -3.797
# - ΔE to the lowest computed polymorph (kJ/mol of atoms) = 1.6
data_BeAlInPd
_symmetry_space_group_name_H-M 'P 1'
_symmetry_Int_Tables_number 1
_cell_length_a 6.282
_cell_length_b 6.282
_cell_length_c 6.282
_cell_angle_alpha 90.00
_cell_angle_beta 90.00
_cell_angle_gamma 90.00
loop_
_symmetry_equiv_pos_as_xyz
'x,y,z'
loop_
_atom_site_label
_atom_site_type_symbol
_atom_site_fract_x
_atom_site_fract_y
_atom_site_fract_z
Be1 Be 0.000 0.000 0.000
Be2 Be 0.000 0.500 0.500
Be3 Be 0.500 0.000 0.500
Be4 Be 0.500 0.500 0.000
Al1 Al 0.000 0.000 0.500
Al2 Al 0.000 0.500 0.000
Al3 Al 0.500 0.000 0.000
Al4 Al 0.500 0.500 0.500
In1 In 0.250 0.250 0.750
In2 In 0.250 0.750 0.250
In3 In 0.750 0.250 0.250
In4 In 0.750 0.750 0.750
Pd1 Pd 0.250 0.250 0.250
Pd2 Pd 0.250 0.750 0.750
Pd3 Pd 0.750 0.250 0.750
Pd4 Pd 0.750 0.750 0.250

No. 4
# YCdPd2 (PBE, relaxed)
# - E (eV per atom) = -5.049
# - M_tot (μB/f.u.) = 0.00
# - DFT formation energy (eV per atom) = -0.621
data_YCdPd2
_symmetry_space_group_name_H-M 'P 1'
_symmetry_Int_Tables_number 1
_cell_length_a 7.330
_cell_length_b 7.118
_cell_length_c 6.234
_cell_angle_alpha 90.00
_cell_angle_beta 90.00
_cell_angle_gamma 90.00
loop_
_symmetry_equiv_pos_as_xyz
'x,y,z'
loop_
_atom_site_label
_atom_site_type_symbol
_atom_site_fract_x
_atom_site_fract_y
_atom_site_fract_z
Y1 Y 0.026 0.250 0.184
Y2 Y 0.474 0.750 0.684
Y3 Y 0.526 0.250 0.316
Y4 Y 0.974 0.750 0.816
Cd1 Cd 0.080 0.750 0.310
Cd2 Cd 0.420 0.250 0.810
Cd3 Cd 0.580 0.750 0.190
Cd4 Cd 0.920 0.250 0.690
Pd1 Pd 0.213 0.042 0.538
Pd2 Pd 0.213 0.458 0.538
Pd3 Pd 0.287 0.542 0.038
Pd4 Pd 0.287 0.958 0.038
Pd5 Pd 0.713 0.042 0.962
Pd6 Pd 0.713 0.458 0.962
Pd7 Pd 0.787 0.542 0.462
Pd8 Pd 0.787 0.958 0.462

No. 5
# Sm2TmMg3Ir2Pt (PBE, relaxed)
# - E (eV per atom) = -5.462
# - M_tot (μB/f.u.) = 0.01
data_Sm2TmMg3Ir2Pt
_symmetry_space_group_name_H-M 'P 1'
_symmetry_Int_Tables_number 1
_cell_length_a 4.060
_cell_length_b 7.357
_cell_length_c 7.357
_cell_angle_alpha 119.76
_cell_angle_beta 90.00
_cell_angle_gamma 90.00
loop_
_symmetry_equiv_pos_as_xyz
'x,y,z'
loop_
_atom_site_label
_atom_site_type_symbol
_atom_site_fract_x
_atom_site_fract_y
_atom_site_fract_z
Sm1 Sm 0.000 0.208 0.792
Sm2 Sm 0.000 0.792 0.208
Tm1 Tm 0.000 0.617 0.617
Mg1 Mg 0.500 0.208 0.454
Mg2 Mg 0.500 0.454 0.208
Mg3 Mg 0.500 0.960 0.960
Ir1 Ir 0.500 0.544 0.867
Ir2 Ir 0.500 0.867 0.544
Pt1 Pt 0.000 0.213 0.213

No. 6
# NdGd2In3IrAu2 (PBE, relaxed)
# - E (eV per atom) = -4.912
# - M_tot (μB/f.u.) = 0.01
data_NdGd2In3IrAu2
_symmetry_space_group_name_H-M 'P 1'
_symmetry_Int_Tables_number 1
_cell_length_a 4.023
_cell_length_b 7.774
_cell_length_c 7.774
_cell_angle_alpha 120.08
_cell_angle_beta 90.00
_cell_angle_gamma 90.00
loop_
_symmetry_equiv_pos_as_xyz
'x,y,z'
loop_
_atom_site_label
_atom_site_type_symbol
_atom_site_fract_x
_atom_site_fract_y
_atom_site_fract_z
Nd1 Nd 0.000 0.000 0.000
Gd1 Gd 0.000 0.401 0.800
Gd2 Gd 0.000 0.800 0.401
In1 In 0.500 0.151 0.402
In2 In 0.500 0.402 0.151
In3 In 0.500 0.652 0.652
Ir1 Ir 0.000 0.405 0.405
Au1 Au 0.500 0.069 0.730
Au2 Au 0.500 0.730 0.069

No. 7
# KCuF3 (PBE, relaxed)
# - E (eV per atom) = -4.158
data_KCuF3
_symmetry_space_group_name_H-M 'P 1'
_symmetry_Int_Tables_number 1
_cell_length_a 3.957
_cell_length_b 3.957
_cell_length_c 3.957
_cell_angle_alpha 90.00
_cell_angle_beta 90.00
_cell_angle_gamma 90.00
loop_
_symmetry_equiv_pos_as_xyz
'x,y,z'
loop_
_atom_site_label
_atom_site_type_symbol
_atom_site_fract_x
_atom_site_fract_y
_atom_site_fract_z
K1 K 0.000 0.000 0.000
Cu1 Cu 0.500 0.500 0.500
F1 F 0.000 0.500 0.500
F2 F 0.500 0.000 0.500
F3 F 0.500 0.500 0.000

No. 8
# Gd2C4IBr (PBE, relaxed)
# - E (eV per atom) = -5.473
# - M_tot (μB/f.u.) = 0.01
data_Gd2C4IBr
_symmetry_space_group_name_H-M 'P 1'
_symmetry_Int_Tables_number 1
_cell_length_a 4.692
_cell_length_b 4.692
_cell_length_c 7.774
_cell_angle_alpha 90.00
_cell_angle_beta 90.00
_cell_angle_gamma 120.00
loop_
_symmetry_equiv_pos_as_xyz
'x,y,z'
loop_
_atom_site_label
_atom_site_type_symbol
_atom_site_fract_x
_atom_site_fract_y
_atom_site_fract_z
Gd1 Gd 0.000 0.000 0.240
Gd2 Gd 0.000 0.000 0.760
C1 C 0.333 0.667 0.417
C2 C 0.333 0.667 0.583
C3 C 0.667 0.333 0.082
C4 C 0.667 0.333 0.918
I1 I 0.667 0.333 0.500
Br1 Br 0.333 0.667 0.000

No. 9
# Ga2Ni3 (PBE, relaxed)
# - E (eV per atom) = -4.616
# - M_tot (μB/f.u.) = 0.00
data_Ga2Ni3
_symmetry_space_group_name_H-M 'P 1'
_symmetry_Int_Tables_number 1
_cell_length_a 5.395
_cell_length_b 5.395
_cell_length_c 5.395
_cell_angle_alpha 70.91
_cell_angle_beta 70.91
_cell_angle_gamma 70.91
loop_
_symmetry_equiv_pos_as_xyz
'x,y,z'
loop_
_atom_site_label
_atom_site_type_symbol
_atom_site_fract_x
_atom_site_fract_y
_atom_site_fract_z
Ga1 Ga 0.103 0.103 0.103
Ga2 Ga 0.397 0.397 0.397
Ga3 Ga 0.603 0.603 0.603
Ga4 Ga 0.897 0.897 0.897
Ni1 Ni 0.007 0.750 0.493
Ni2 Ni 0.250 0.507 0.993
Ni3 Ni 0.493 0.007 0.750
Ni4 Ni 0.507 0.993 0.250
Ni5 Ni 0.750 0.493 0.007
Ni6 Ni 0.993 0.250 0.507

No. 10
# Er2TmLuIn2 (PBE, relaxed)
# - E (eV per atom) = -4.277
# - M_tot (μB/f.u.) = 0.16
data_Er2TmLuIn2
_symmetry_space_group_name_H-M 'P 1'
_symmetry_Int_Tables_number 1
_cell_length_a 5.310
_cell_length_b 5.310
_cell_length_c 6.646
_cell_angle_alpha 90.00
_cell_angle_beta 90.00
_cell_angle_gamma 120.00
loop_
_symmetry_equiv_pos_as_xyz
'x,y,z'
loop_
_atom_site_label
_atom_site_type_symbol
_atom_site_fract_x
_atom_site_fract_y
_atom_site_fract_z
Er1 Er 0.000 0.000 0.249
Er2 Er 0.000 0.000 0.751
Tm1 Tm 0.333 0.667 0.500
Lu1 Lu 0.667 0.333 0.000
In1 In 0.333 0.667 0.000
In2 In 0.667 0.333 0.500

No. 11
# LaCoSn2Ir (PBE, relaxed)
# - E (eV per atom) = -6.262
# - M_tot (μB/f.u.) = 0.00
data_LaCoSn2Ir
_symmetry_space_group_name_H-M 'P 1'
_symmetry_Int_Tables_number 1
_cell_length_a 4.476
_cell_length_b 4.476
_cell_length_c 10.489
_cell_angle_alpha 90.00
_cell_angle_beta 90.00
_cell_angle_gamma 90.00
loop_
_symmetry_equiv_pos_as_xyz
'x,y,z'
loop_
_atom_site_label
_atom_site_type_symbol
_atom_site_fract_x
_atom_site_fract_y
_atom_site_fract_z
La1 La 0.250 0.250 0.248
La2 La 0.750 0.750 0.752
Co1 Co 0.250 0.250 0.623
Co2 Co 0.750 0.750 0.377
Sn1 Sn 0.250 0.250 0.860
Sn2 Sn 0.250 0.750 0.500
Sn3 Sn 0.750 0.250 0.500
Sn4 Sn 0.750 0.750 0.140
Ir1 Ir 0.250 0.750 0.000
Ir2 Ir 0.750 0.250 0.000

No. 12
# CsSmTe3Au (PBE, relaxed)
# - E (eV per atom) = -3.990
# - M_tot (μB/f.u.) = 0.00
data_CsSmTe3Au
_symmetry_space_group_name_H-M 'P 1'
_symmetry_Int_Tables_number 1
_cell_length_a 9.106
_cell_length_b 9.106
_cell_length_c 11.488
_cell_angle_alpha 90.00
_cell_angle_beta 90.00
_cell_angle_gamma 152.49
loop_
_symmetry_equiv_pos_as_xyz
'x,y,z'
loop_
_atom_site_label
_atom_site_type_symbol
_atom_site_fract_x
_atom_site_fract_y
_atom_site_fract_z
Cs1 Cs 0.249 0.751 0.750
Cs2 Cs 0.751 0.249 0.250
Sm1 Sm 0.000 0.000 0.000
Sm2 Sm 0.000 0.000 0.500
Te1 Te 0.069 0.931 0.250
Te2 Te 0.376 0.624 0.053
Te3 Te 0.376 0.624 0.447
Te4 Te 0.624 0.376 0.553
Te5 Te 0.624 0.376 0.947
Te6 Te 0.931 0.069 0.750
Au1 Au 0.467 0.533 0.250
Au2 Au 0.533 0.467 0.750

E of number 5 (Sm2TmMg3Ir2Pt)? -5.462 eV per atom

Repeat the eighth record exactly.
# Gd2C4IBr (PBE, relaxed)
# - E (eV per atom) = -5.473
# - M_tot (μB/f.u.) = 0.01
data_Gd2C4IBr
_symmetry_space_group_name_H-M 'P 1'
_symmetry_Int_Tables_number 1
_cell_length_a 4.692
_cell_length_b 4.692
_cell_length_c 7.774
_cell_angle_alpha 90.00
_cell_angle_beta 90.00
_cell_angle_gamma 120.00
loop_
_symmetry_equiv_pos_as_xyz
'x,y,z'
loop_
_atom_site_label
_atom_site_type_symbol
_atom_site_fract_x
_atom_site_fract_y
_atom_site_fract_z
Gd1 Gd 0.000 0.000 0.240
Gd2 Gd 0.000 0.000 0.760
C1 C 0.333 0.667 0.417
C2 C 0.333 0.667 0.583
C3 C 0.667 0.333 0.082
C4 C 0.667 0.333 0.918
I1 I 0.667 0.333 0.500
Br1 Br 0.333 0.667 0.000

Copy entry 10 word for word.
# Er2TmLuIn2 (PBE, relaxed)
# - E (eV per atom) = -4.277
# - M_tot (μB/f.u.) = 0.16
data_Er2TmLuIn2
_symmetry_space_group_name_H-M 'P 1'
_symmetry_Int_Tables_number 1
_cell_length_a 5.310
_cell_length_b 5.310
_cell_length_c 6.646
_cell_angle_alpha 90.00
_cell_angle_beta 90.00
_cell_angle_gamma 120.00
loop_
_symmetry_equiv_pos_as_xyz
'x,y,z'
loop_
_atom_site_label
_atom_site_type_symbol
_atom_site_fract_x
_atom_site_fract_y
_atom_site_fract_z
Er1 Er 0.000 0.000 0.249
Er2 Er 0.000 0.000 0.751
Tm1 Tm 0.333 0.667 0.500
Lu1 Lu 0.667 0.333 0.000
In1 In 0.333 0.667 0.000
In2 In 0.667 0.333 0.500

Look up the E of the eleventh one. -6.262 eV per atom